(1)
A plane-wave DFT calculation with PBE was carried out for Hg4Bi2B after structural relaxation.

Cell: 4.745 4.745 10.672 Å, 77.16 77.16 90.00°
Fractional coordinates of all 7 atoms:
Hg 0.000 0.500 0.000
Hg 0.884 0.884 0.232
Hg 0.116 0.116 0.768
Hg 0.500 0.000 0.000
Bi 0.745 0.745 0.510
Bi 0.255 0.255 0.490
B 0.000 0.000 0.000

## Properties
density of states at the Fermi level = 1.1 states/eV per cell
total DFT energy (no corrections) = -0.0690 hartree per atom
DFT formation energy = 0.357 eV/atom
magnetic moment = 0.0 Bohr magnetons per cell


(2)
A plane-wave DFT calculation with PBE was carried out for Hg2BiB after structural relaxation.

Cell: 5.099 5.099 5.099 Å, 60.00 60.00 60.00°
Fractional coordinates of all 4 atoms:
Bi 0.500 0.500 0.500
Hg 0.250 0.250 0.250
Hg 0.750 0.750 0.750
B 0.000 0.000 0.000

## Properties
density of states at the Fermi level = 1.0 states/eV per cell
energy above the most stable polymorph in this dataset = 326 meV/atom
total DFT energy (no corrections) = -0.0625 hartree per atom
DFT formation energy = 1.090 eV/atom
magnetic moment = 0.0 Bohr magnetons per cell


(3)
A plane-wave DFT calculation with PBE was carried out for Hg3BiB after structural relaxation.

Cell: 4.867 4.867 4.867 Å, 90.00 90.00 90.00°
Fractional coordinates of all 5 atoms:
B 0.000 0.000 0.000
Hg 0.000 0.000 0.500
Hg 0.500 0.000 0.000
Hg 0.000 0.500 0.000
Bi 0.500 0.500 0.500

## Properties
density of states at the Fermi level = 4.7 states/eV per cell
energy above the most stable polymorph in this dataset = 0 meV/atom
total DFT energy (no corrections) = -0.0603 hartree per atom
DFT formation energy = 0.652 eV/atom
magnetic moment = 0.0 Bohr magnetons per cell


(4)
A plane-wave DFT calculation with PBE was carried out for Hg3BiB after structural relaxation.

Cell: 5.951 5.951 5.951 Å, 90.00 90.00 90.00°
Each line ends with the local moment (μB).
Fractional coordinates of all 5 atoms:
Hg 0.500 0.000 0.000  0.03
Hg 0.000 0.000 0.500  0.00
Hg 0.000 0.500 0.000  0.00
B 0.500 0.500 0.500  0.38
Bi 0.000 0.000 0.000  -0.03

## Properties
density of states at the Fermi level = 7.4 states/eV per cell
energy above the most stable polymorph in this dataset = 644 meV/atom
total DFT energy (no corrections) = -0.0366 hartree per atom
DFT formation energy = 1.296 eV/atom
magnetic moment = 1.2 Bohr magnetons per cell


(5)
A plane-wave DFT calculation with PBE was carried out for Hg2BiB after structural relaxation.

Cell: 7.023 7.023 6.320 Å, 56.25 56.25 90.00°
Fractional coordinates of all 8 atoms:
B 0.500 0.500 0.000
B 0.250 0.750 0.500
Hg 0.375 0.481 0.750
Hg 0.875 0.769 0.750
Hg 0.519 0.125 0.250
Hg 0.231 0.625 0.250
Bi 0.000 0.000 0.000
Bi 0.750 0.250 0.500

## Properties
density of states at the Fermi level = 4.3 states/eV per cell
energy above the most stable polymorph in this dataset = 0 meV/atom
total DFT energy (no corrections) = -0.0745 hartree per atom
DFT formation energy = 0.764 eV/atom
magnetic moment = 0.0 Bohr magnetons per cell


(6)
A plane-wave DFT calculation with PBE was carried out for HgBi2B after structural relaxation.

Cell: 5.157 5.157 5.157 Å, 60.00 60.00 60.00°
Fractional coordinates of all 4 atoms:
Bi 0.750 0.750 0.750
Bi 0.250 0.250 0.250
B 0.000 0.000 0.000
Hg 0.500 0.500 0.500

## Properties
density of states at the Fermi level = 2.0 states/eV per cell
energy above the most stable polymorph in this dataset = 422 meV/atom
total DFT energy (no corrections) = -0.0993 hartree per atom
DFT formation energy = 0.984 eV/atom
magnetic moment = 0.0 Bohr magnetons per cell


(7)
A plane-wave DFT calculation with PBE was carried out for HgBi2B after structural relaxation.

Cell: 6.345 6.345 7.296 Å, 64.23 64.23 90.00°
Fractional coordinates of all 8 atoms:
Bi 0.194 0.625 0.250
Bi 0.375 0.444 0.750
Bi 0.556 0.125 0.250
Bi 0.875 0.806 0.750
B 0.250 0.750 0.500
B 0.500 0.500 0.000
Hg 0.750 0.250 0.500
Hg 0.000 0.000 0.000

## Properties
density of states at the Fermi level = 2.7 states/eV per cell
energy above the most stable polymorph in this dataset = 0 meV/atom
total DFT energy (no corrections) = -0.1148 hartree per atom
DFT formation energy = 0.562 eV/atom
magnetic moment = 0.0 Bohr magnetons per cell


(8)
A plane-wave DFT calculation with PBE was carried out for Hg2BiB2O6 after structural relaxation.

Cell: 5.454 5.559 7.991 Å, 123.94 90.00 119.38°
Fractional coordinates of all 11 atoms:
O 0.735 0.901 0.239
O 0.265 0.099 0.761
O 0.812 0.624 0.728
O 0.165 0.901 0.239
O 0.188 0.376 0.272
O 0.835 0.099 0.761
Bi 0.500 0.000 0.500
B 0.039 0.079 0.255
B 0.961 0.921 0.745
Hg 0.673 0.346 0.085
Hg 0.327 0.654 0.915

## Properties
density of states at the Fermi level = 1.1 states/eV per cell
total DFT energy (no corrections) = -0.2088 hartree per atom
formation energy (no corrections) = -1.35 eV per atom
magnetic moment = 0.0 Bohr magnetons per cell


(9)
A plane-wave DFT calculation with PBE was carried out for HgBi2BOs after structural relaxation.

Cell: 5.210 4.086 5.210 Å, 90.00 90.00 90.00°
Fractional coordinates of all 5 atoms:
Bi 0.000 0.000 0.500
Bi 0.500 0.000 0.000
Hg 0.500 0.500 0.500
Os 0.000 0.500 0.000
B 0.000 0.000 0.000

## Properties
density of states at the Fermi level = 4.4 states/eV per cell
total DFT energy (no corrections) = -0.1619 hartree per atom
DFT formation energy = 0.789 eV/atom
magnetic moment = 0.0 Bohr magnetons per cell


(10)
A plane-wave DFT calculation with PBE was carried out for HgBiB2Pt after structural relaxation.

Cell: 4.109 4.109 6.569 Å, 90.00 90.00 90.00°
Fractional coordinates of all 5 atoms:
Pt 0.500 0.500 0.500
Hg 0.000 0.000 0.000
Bi 0.000 0.000 0.500
B 0.000 0.500 0.000
B 0.500 0.000 0.000

## Properties
density of states at the Fermi level = 1.6 states/eV per cell
total DFT energy (no corrections) = -0.1148 hartree per atom
DFT formation energy = 1.592 eV/atom
magnetic moment = 0.0 Bohr magnetons per cell


(11)
A plane-wave DFT calculation with PBE was carried out for RbHg2BiB after structural relaxation.

Cell: 5.958 7.435 5.958 Å, 90.00 90.00 90.00°
Each line ends with the local moment (μB).
Fractional coordinates of all 5 atoms:
B 0.500 0.500 0.500  0.48
Hg 0.000 0.000 0.500  -0.01
Hg 0.500 0.000 0.000  0.01
Rb 0.000 0.500 0.000  0.01
Bi 0.000 0.000 0.000  -0.01

## Properties
density of states at the Fermi level = 10.7 states/eV per cell
total DFT energy (no corrections) = -0.0498 hartree per atom
DFT formation energy = 1.071 eV/atom
magnetic moment = 1.4 Bohr magnetons per cell


(12)
A plane-wave DFT calculation with PBE was carried out for HgBi2BSb after structural relaxation.

Cell: 5.399 4.361 5.399 Å, 90.00 90.00 90.00°
Fractional coordinates of all 5 atoms:
Sb 0.500 0.500 0.500
Bi 0.500 0.000 0.000
Bi 0.000 0.000 0.500
Hg 0.000 0.500 0.000
B 0.000 0.000 0.000

## Properties
density of states at the Fermi level = 2.0 states/eV per cell
total DFT energy (no corrections) = -0.1190 hartree per atom
formation energy (no corrections) = 0.53 eV per atom
magnetic moment = 0.0 Bohr magnetons per cell


(13)
A plane-wave DFT calculation with PBE was carried out for Hg2BiBTe after structural relaxation.

Cell: 4.550 6.008 4.550 Å, 90.00 90.00 90.00°
Fractional coordinates of all 5 atoms:
Bi 0.000 0.500 0.000
Hg 0.500 0.000 0.000
Hg 0.000 0.000 0.500
Te 0.500 0.500 0.500
B 0.000 0.000 0.000

## Properties
density of states at the Fermi level = 1.1 states/eV per cell
energy above the most stable polymorph in this dataset = 0 meV/atom
total DFT energy (no corrections) = -0.0908 hartree per atom
formation energy (no corrections) = 0.39 eV per atom
magnetic moment = 0.0 Bohr magnetons per cell


(14)
A plane-wave DFT calculation with PBE was carried out for Hg2BiBTe after structural relaxation.

Cell: 5.902 5.902 6.091 Å, 90.00 90.00 90.00°
Each line ends with the local moment (μB).
Fractional coordinates of all 5 atoms:
Hg 0.500 0.000 0.000  0.01
Hg 0.000 0.500 0.000  0.01
B 0.500 0.500 0.500  0.24
Te 0.000 0.000 0.500  -0.01
Bi 0.000 0.000 0.000  0.02

## Properties
density of states at the Fermi level = 4.8 states/eV per cell
energy above the most stable polymorph in this dataset = 896 meV/atom
total DFT energy (no corrections) = -0.0579 hartree per atom
formation energy (no corrections) = 1.29 eV per atom
magnetic moment = 0.7 Bohr magnetons per cell


(15)
A plane-wave DFT calculation with PBE was carried out for Hg2BiBW after structural relaxation.

Cell: 5.387 4.180 5.387 Å, 90.00 90.00 90.00°
Fractional coordinates of all 5 atoms:
Bi 0.500 0.500 0.500
Hg 0.000 0.000 0.500
Hg 0.500 0.000 0.000
B 0.000 0.500 0.000
W 0.000 0.000 0.000

## Properties
density of states at the Fermi level = 3.4 states/eV per cell
total DFT energy (no corrections) = -0.1355 hartree per atom
DFT formation energy = 1.135 eV/atom
magnetic moment = 0.0 Bohr magnetons per cell


(16)
A plane-wave DFT calculation with PBE was carried out for Y2HgBiB after structural relaxation.

Cell: 5.806 5.525 5.806 Å, 90.00 90.00 90.00°
Fractional coordinates of all 5 atoms:
Y 0.000 0.000 0.500
Y 0.500 0.000 0.000
B 0.500 0.500 0.500
Hg 0.000 0.500 0.000
Bi 0.000 0.000 0.000

## Properties
density of states at the Fermi level = 4.4 states/eV per cell
total DFT energy (no corrections) = -0.1290 hartree per atom
DFT formation energy = 1.248 eV/atom
magnetic moment = 0.0 Bohr magnetons per cell


(17)
A plane-wave DFT calculation with PBE was carried out for Ho5Bi2B after structural relaxation.

Cell: 5.238 8.375 13.274 Å, 90.00 90.00 108.22°
Fractional coordinates of all 16 atoms:
B 0.812 0.624 0.750
B 0.188 0.376 0.250
Ho 0.078 0.155 0.121
Ho 0.708 0.416 0.250
Ho 0.284 0.568 0.082
Ho 0.292 0.584 0.750
Ho 0.284 0.568 0.418
Ho 0.078 0.155 0.379
Ho 0.922 0.845 0.621
Ho 0.716 0.432 0.582
Ho 0.922 0.845 0.879
Ho 0.716 0.432 0.918
Bi 0.879 0.757 0.107
Bi 0.879 0.757 0.393
Bi 0.121 0.243 0.607
Bi 0.121 0.243 0.893

## Properties
density of states at the Fermi level = 18.6 states/eV per cell
total DFT energy (no corrections) = -0.1753 hartree per atom
DFT formation energy = -0.104 eV/atom
magnetic moment = 0.1 Bohr magnetons per cell


(18)
A plane-wave DFT calculation with PBE was carried out for HoBiB after structural relaxation.

Cell: 3.741 5.400 8.940 Å, 119.05 90.00 110.27°
Fractional coordinates of all 6 atoms:
Ho 0.907 0.815 0.133
Ho 0.093 0.185 0.867
Bi 0.748 0.495 0.702
Bi 0.252 0.505 0.298
B 0.402 0.804 0.933
B 0.598 0.196 0.067

## Properties
density of states at the Fermi level = 2.1 states/eV per cell
total DFT energy (no corrections) = -0.1940 hartree per atom
DFT formation energy = -0.233 eV/atom
magnetic moment = 0.0 Bohr magnetons per cell


(19)
A plane-wave DFT calculation with PBE was carried out for Ho6Bi2B after structural relaxation.

Cell: 6.392 7.945 9.975 Å, 90.00 91.35 90.00°
Fractional coordinates of all 18 atoms:
Ho 0.839 0.672 0.961
Ho 0.887 0.974 0.253
Ho 0.613 0.474 0.247
Ho 0.863 0.702 0.540
Ho 0.637 0.202 0.960
Ho 0.339 0.828 0.461
Ho 0.363 0.798 0.040
Ho 0.161 0.328 0.039
Ho 0.113 0.026 0.747
Ho 0.661 0.172 0.539
Ho 0.387 0.526 0.753
Ho 0.137 0.298 0.460
Bi 0.088 0.607 0.255
Bi 0.412 0.107 0.245
Bi 0.588 0.893 0.755
Bi 0.912 0.393 0.745
B 0.500 0.500 0.000
B 0.000 0.000 0.500

## Properties
density of states at the Fermi level = 20.4 states/eV per cell
total DFT energy (no corrections) = -0.1860 hartree per atom
DFT formation energy = -0.405 eV/atom
magnetic moment = 0.0 Bohr magnetons per cell


(20)
A plane-wave DFT calculation with PBE was carried out for Ho4BiB3Rh12 after structural relaxation.

Cell: 7.584 7.584 7.584 Å, 109.47 109.47 109.47°
Fractional coordinates of all 20 atoms:
Rh 0.281 0.000 0.281
Rh 0.500 0.250 0.750
Rh 0.719 0.000 0.719
Rh 0.719 0.719 0.000
Rh 0.281 0.281 0.000
Rh 0.000 0.281 0.281
Rh 0.250 0.500 0.750
Rh 0.500 0.750 0.250
Rh 0.750 0.500 0.250
Rh 0.750 0.250 0.500
Rh 0.250 0.750 0.500
Rh 0.000 0.719 0.719
Ho 0.000 0.000 0.500
Ho 0.500 0.000 0.000
Ho 0.000 0.500 0.000
Ho 0.500 0.500 0.500
B 0.500 0.500 0.000
B 0.500 0.000 0.500
B 0.000 0.500 0.500
Bi 0.000 0.000 0.000

## Properties
density of states at the Fermi level = 14.5 states/eV per cell
total DFT energy (no corrections) = -0.2583 hartree per atom
DFT formation energy = -0.506 eV/atom
magnetic moment = 0.0 Bohr magnetons per cell


(21)
A plane-wave DFT calculation with PBE was carried out for Ho3BiB2Rh9 after structural relaxation.

Cell: 5.849 5.849 9.087 Å, 90.00 90.00 120.00°
Fractional coordinates of all 15 atoms:
Ho 0.333 0.667 0.723
Ho 0.667 0.333 0.277
Ho 0.000 0.000 0.000
Rh 0.161 0.322 0.260
Rh 0.161 0.839 0.260
Rh 0.000 0.500 0.000
Rh 0.839 0.678 0.740
Rh 0.839 0.161 0.740
Rh 0.678 0.839 0.260
Rh 0.500 0.500 0.000
Rh 0.500 0.000 0.000
Rh 0.322 0.161 0.740
B 0.333 0.667 0.143
B 0.667 0.333 0.857
Bi 0.000 0.000 0.500

## Properties
density of states at the Fermi level = 14.0 states/eV per cell
total DFT energy (no corrections) = -0.2590 hartree per atom
DFT formation energy = -0.573 eV/atom
magnetic moment = 0.0 Bohr magnetons per cell


(22)
A plane-wave DFT calculation with PBE was carried out for Bi2B2I after structural relaxation.

Cell: 8.432 8.432 3.709 Å, 90.00 90.00 90.00°
Fractional coordinates of all 10 atoms:
B 0.566 0.934 0.500
B 0.434 0.066 0.500
B 0.934 0.434 0.500
B 0.066 0.566 0.500
Bi 0.149 0.351 0.000
Bi 0.649 0.149 0.000
Bi 0.351 0.851 0.000
Bi 0.851 0.649 0.000
I 0.000 0.000 0.000
I 0.500 0.500 0.000

## Properties
density of states at the Fermi level = 5.1 states/eV per cell
total DFT energy (no corrections) = -0.1290 hartree per atom
formation energy (no corrections) = 1.02 eV per atom
magnetic moment = 0.0 Bohr magnetons per cell


(23)
A plane-wave DFT calculation with PBE was carried out for BiBI2 after structural relaxation.

Cell: 7.331 7.331 7.509 Å, 60.78 60.78 90.00°
Fractional coordinates of all 8 atoms:
I 0.375 0.566 0.750
I 0.875 0.684 0.750
I 0.434 0.125 0.250
I 0.316 0.625 0.250
Bi 0.000 0.000 0.000
Bi 0.750 0.250 0.500
B 0.500 0.500 0.000
B 0.250 0.750 0.500

## Properties
density of states at the Fermi level = 0.5 states/eV per cell
energy above the most stable polymorph in this dataset = 0 meV/atom
total DFT energy (no corrections) = -0.0870 hartree per atom
formation energy (no corrections) = 1.05 eV per atom
magnetic moment = 0.0 Bohr magnetons per cell


(24)
A plane-wave DFT calculation with PBE was carried out for BiB3I after structural relaxation.

Cell: 4.935 4.935 4.935 Å, 90.00 90.00 90.00°
Fractional coordinates of all 5 atoms:
Bi 0.000 0.000 0.000
I 0.500 0.500 0.500
B 0.500 0.000 0.000
B 0.000 0.000 0.500
B 0.000 0.500 0.000

## Properties
density of states at the Fermi level = 2.3 states/eV per cell
energy above the most stable polymorph in this dataset = 0 meV/atom
total DFT energy (no corrections) = -0.1030 hartree per atom
formation energy (no corrections) = 2.29 eV per atom
magnetic moment = 0.0 Bohr magnetons per cell


(25)
A plane-wave DFT calculation with PBE was carried out for BiB2I after structural relaxation.

Cell: 4.781 4.781 4.781 Å, 60.00 60.00 60.00°
Fractional coordinates of all 4 atoms:
B 0.250 0.250 0.250
B 0.750 0.750 0.750
Bi 0.500 0.500 0.500
I 0.000 0.000 0.000

## Properties
density of states at the Fermi level = 2.2 states/eV per cell
energy above the most stable polymorph in this dataset = 432 meV/atom
total DFT energy (no corrections) = -0.1024 hartree per atom
formation energy (no corrections) = 1.91 eV per atom
magnetic moment = 0.0 Bohr magnetons per cell